# 1
TbPrSmGa after structural relaxation. Source: Alexandria, functional GGA-PBE.

Geometry as CIF:
```
data_TbPrSmGa
_space_group_name_H-M_alt 'F -4 3 m'
_space_group_IT_number 216
_space_group_name_Hall 'F -4 2 3'
_cell_length_a 7.685
_cell_length_b 7.685
_cell_length_c 7.685
_cell_angle_alpha 90.00
_cell_angle_beta 90.00
_cell_angle_gamma 90.00
loop_
_atom_site_label
_atom_site_fract_x
_atom_site_fract_y
_atom_site_fract_z
_atom_site_occupancy
Tb1 0.000 0.000 0.000 1
Pr1 0.250 0.250 0.250 1
Sm1 0.250 0.250 0.750 1
Ga1 0.000 0.000 0.500 1
```

Summary:
total magnetization = 0.5 μB per formula unit
crystal system = cubic
E_form = -0.085 eV per atom


# 2
Tb2ZnGe4Pd3 after structural relaxation. Source: Alexandria, functional GGA-PBE.

Geometry as CIF:
```
data_Tb2ZnGe4Pd3
_space_group_name_H-M_alt 'P -4 m 2'
_space_group_IT_number 115
_space_group_name_Hall 'P -4 -2'
_cell_length_a 4.146
_cell_length_b 4.146
_cell_length_c 10.883
_cell_angle_alpha 90.00
_cell_angle_beta 90.00
_cell_angle_gamma 90.00
loop_
_atom_site_label
_atom_site_fract_x
_atom_site_fract_y
_atom_site_fract_z
_atom_site_occupancy
Tb1 0.000 0.500 0.243 1
Zn1 0.500 0.500 0.000 1
Ge1 0.000 0.000 0.500 1
Ge2 0.000 0.500 0.860 1
Ge3 0.500 0.500 0.500 1
Pd1 0.000 0.000 0.000 1
Pd2 0.000 0.500 0.636 1
```

Summary:
total magnetization = 0.0 μB per formula unit
crystal system = tetragonal
E_form = -0.712 eV per atom


# 3
MgHgBPd2 after structural relaxation. Source: Alexandria, functional GGA-PBE.

Geometry as CIF:
```
data_MgHgBPd2
_space_group_name_H-M_alt 'P 4/m m m'
_space_group_IT_number 123
_space_group_name_Hall '-P 4 2'
_cell_length_a 4.266
_cell_length_b 4.266
_cell_length_c 4.465
_cell_angle_alpha 90.00
_cell_angle_beta 90.00
_cell_angle_gamma 90.00
loop_
_atom_site_label
_atom_site_fract_x
_atom_site_fract_y
_atom_site_fract_z
_atom_site_occupancy
Mg1 0.000 0.000 0.000 1
Hg1 0.500 0.500 0.000 1
B1 0.500 0.500 0.500 1
Pd1 0.000 0.500 0.500 1
```

Summary:
total magnetization = 0.0 μB per formula unit
crystal system = tetragonal
E_form = -0.097 eV per atom


Question: Which formula does entry 2 have?
Answer: Tb2ZnGe4Pd3


Question: Which value of total magnetization does entry 2 give?
Answer: 0.0 μB per formula unit


Question: Number 1 is which compound?
Answer: TbPrSmGa


What did the second record say?
Tb2ZnGe4Pd3 after structural relaxation. Source: Alexandria, functional GGA-PBE.

Geometry as CIF:
```
data_Tb2ZnGe4Pd3
_space_group_name_H-M_alt 'P -4 m 2'
_space_group_IT_number 115
_space_group_name_Hall 'P -4 -2'
_cell_length_a 4.146
_cell_length_b 4.146
_cell_length_c 10.883
_cell_angle_alpha 90.00
_cell_angle_beta 90.00
_cell_angle_gamma 90.00
loop_
_atom_site_label
_atom_site_fract_x
_atom_site_fract_y
_atom_site_fract_z
_atom_site_occupancy
Tb1 0.000 0.500 0.243 1
Zn1 0.500 0.500 0.000 1
Ge1 0.000 0.000 0.500 1
Ge2 0.000 0.500 0.860 1
Ge3 0.500 0.500 0.500 1
Pd1 0.000 0.000 0.000 1
Pd2 0.000 0.500 0.636 1
```

Summary:
total magnetization = 0.0 μB per formula unit
crystal system = tetragonal
E_form = -0.712 eV per atom